Entry 1:
Compound: LaSi2TcRu
Source: the Alexandria database
Functional: PBE
Structure: relaxed

Cell: 4.3030 4.3030 5.7849 Å, 111.83 111.83 90.00°
Sites, in units of the cell vectors:
Ru: 0.7500 0.2500 0.5000
Si: 0.6392 0.6392 0.2785
Si: 0.3608 0.3608 0.7215
La: 0.0000 0.0000 0.0000
Tc: 0.2500 0.7500 0.5000

Formation energy without anion corrections ... -746 meV/atom
ρ ... 7.2 g cm⁻³
Total DFT energy (no corrections) ... -39.144 eV per cell


Entry 2:
Compound: Si2HgOs2
Source: the Alexandria database
Functional: PBE
Structure: relaxed

Cell: 7.2102 7.2102 2.9095 Å, 90.00 90.00 90.00°
Sites, in units of the cell vectors:
Si: 0.1430 0.6430 0.5000
Si: 0.6430 0.8570 0.5000
Si: 0.8570 0.3570 0.5000
Si: 0.3570 0.1430 0.5000
Hg: 0.5000 0.5000 0.0000
Hg: 0.0000 0.0000 0.0000
Os: 0.1480 0.3520 0.0000
Os: 0.8520 0.6480 0.0000
Os: 0.3520 0.8520 0.0000
Os: 0.6480 0.1480 0.0000

Formation energy without anion corrections ... 32 meV/atom
ρ ... 14.0 g cm⁻³
Total DFT energy (no corrections) ... -66.899 eV per cell


Entry 3:
Compound: TmP2IrRh5
Source: the Alexandria database
Functional: PBE
Structure: relaxed

Cell: 3.8929 3.8929 10.6391 Å, 90.00 90.00 90.00°
Sites, in units of the cell vectors:
Rh: 0.5000 0.0000 0.8352
Rh: 0.0000 0.5000 0.1648
Rh: 0.0000 0.0000 0.5000
Rh: 0.0000 0.5000 0.8352
Rh: 0.5000 0.0000 0.1648
Tm: 0.5000 0.5000 0.5000
P: 0.0000 0.0000 0.2874
P: 0.0000 0.0000 0.7126
Ir: 0.0000 0.0000 0.0000

ρ ... 9.7 g cm⁻³
Total DFT energy (no corrections) ... -62.777 eV per cell
Formation enthalpy at 0 K ... -0.21 eV/atom


Entry 4:
Compound: ZnGe3Os
Source: the Alexandria database
Functional: PBE
Structure: relaxed

Cell: 4.6541 4.6541 4.6541 Å, 90.00 90.00 90.00°
Sites, in units of the cell vectors:
Ge: 0.5000 0.0000 0.0000
Ge: 0.0000 0.5000 0.0000
Ge: 0.0000 0.0000 0.5000
Os: 0.5000 0.5000 0.5000
Zn: 0.0000 0.0000 0.0000

Offset from the most stable computed form ... 953 meV/atom
ρ ... 7.8 g cm⁻³
Total DFT energy (no corrections) ... -19.343 eV per cell
Formation enthalpy at 0 K ... 1.40 eV/atom


Entry 5:
Compound: KI2Br2
Source: the Alexandria database
Functional: PBE
Structure: relaxed

Cell: 9.4730 9.4730 4.5166 Å, 90.00 90.00 90.00°
Sites, in units of the cell vectors:
K: 0.0000 0.0000 0.0000
K: 0.5000 0.5000 0.0000
Br: 0.7791 0.2791 0.5000
Br: 0.2209 0.7209 0.5000
Br: 0.7209 0.7791 0.5000
Br: 0.2791 0.2209 0.5000
I: 0.1019 0.3981 0.0000
I: 0.8981 0.6019 0.0000
I: 0.6019 0.1019 0.0000
I: 0.3981 0.8981 0.0000

Offset from the most stable computed form ... 181 meV/atom
Formation energy without anion corrections ... -450 meV/atom
ρ ... 3.7 g cm⁻³
Total DFT energy (no corrections) ... -19.589 eV per cell


Entry 6:
Compound: GdZr2Mo
Source: the Alexandria database
Functional: PBE
Structure: relaxed

Cell: 3.4300 3.4300 7.8678 Å, 90.00 90.00 90.00°
Sites, in units of the cell vectors:
Zr: 0.0000 0.0000 0.8033
Zr: 0.0000 0.0000 0.1967
Mo: 0.5000 0.5000 0.0000
Gd: 0.5000 0.5000 0.5000

Offset from the most stable computed form ... 0 meV/atom
ρ ... 7.8 g cm⁻³
Total DFT energy (no corrections) ... -41.745 eV per cell
Formation enthalpy at 0 K ... 0.07 eV/atom